1.
Density functional theory data (PBE) for In2GeCl5 after structural relaxation.

Calculated values
As for the formation energy (no corrections): -5.96 eV/f.u.

Cell and atoms, written as POSCAR:
```
In2GeCl5
1.0
7.3602 0.0000 0.0000
0.0002 7.3598 -0.0027
-3.6798 -3.6815 4.9646
In Ge Cl
2 1 5
direct
0.2035 0.7037 0.4069 In
0.7034 0.2040 0.4069 In
0.9920 0.9919 0.9840 Ge
0.7932 0.2629 0.0562 Cl
0.2630 0.2629 0.0562 Cl
0.7933 0.7932 0.0563 Cl
0.2630 0.7932 0.0563 Cl
0.7656 0.7653 0.5312 Cl
```

2.
Density functional theory data (PBE) for CaMg2Pb after structural relaxation.

Calculated values
The value obtained for the calculated formation energy is -0.19 eV per atom. As for the energy relative to the lowest polymorph listed for this composition: 48 meV/atom.

Cell and atoms, written as POSCAR:
```
CaMg2Pb
1.0
-4.0026 1.5907 -4.0975
1.3966 -2.0701 -5.3949
-0.4242 -2.5248 5.3600
Ca Mg Pb
1 2 1
direct
0.7500 0.2500 0.5000 Ca
0.0000 0.0000 0.0000 Mg
0.5000 0.5000 0.0000 Mg
0.2500 0.7500 0.5000 Pb
```